Entry 1:
Material: CsBaTiS3
Method: DFT, GGA-PBE
State: relaxed

**Energy**: -5.273 eV per atom
**Calculated volume**: 31.59 A^3/atom
**Size of the total moment**: 0.00 Bohr magnetons per cell
**Formation energy from raw total energies**: -1.431 eV per atom
**Space-group type**: No. 12

a = 8.8483 Å, b = 8.8483 Å, c = 9.5547 Å
α = 105.45°, β = 105.45°, γ = 31.83°
Fractional coordinates of all 12 atoms:
Cs 0.1364 0.1364 0.0665
Cs 0.8636 0.8636 0.9335
Ba 0.1595 0.1595 0.5845
Ba 0.8405 0.8405 0.4155
Ti 0.4984 0.4984 0.6710
Ti 0.5016 0.5016 0.3290
S 0.0032 0.0032 0.3190
S 0.3547 0.3547 0.6505
S 0.3614 0.3614 0.2060
S 0.6386 0.6386 0.7940
S 0.6453 0.6453 0.3495
S 0.9968 0.9968 0.6810

---

Entry 2:
Material: CsBaTlS2
Method: DFT, GGA-PBE
State: relaxed

**Energy**: -3.642 eV per atom
**Calculated volume**: 54.04 A^3/atom
**Size of the total moment**: 0.00 Bohr magnetons per cell
**Formation energy from raw total energies**: -0.962 eV per atom
**Space-group type**: No. 13

a = 8.4340 Å, b = 7.7050 Å, c = 8.3805 Å
α = 90.00°, β = 97.14°, γ = 90.00°
Fractional coordinates of all 10 atoms:
Cs 0.0000 0.0966 0.2500
Cs 0.0000 0.9034 0.7500
Ba 0.5000 0.0225 0.7500
Ba 0.5000 0.9775 0.2500
Tl 0.5000 0.5000 0.0000
Tl 0.5000 0.5000 0.5000
S 0.2956 0.1824 0.9915
S 0.2956 0.8176 0.4915
S 0.7044 0.1824 0.5085
S 0.7044 0.8176 0.0085

---

Entry 3:
Material: CsBa2TlS4
Method: DFT, GGA-PBE
State: relaxed

**Energy**: -4.090 eV per atom
**Calculated volume**: 34.21 A^3/atom
**Size of the total moment**: 0.00 Bohr magnetons per cell
**Formation energy from raw total energies**: -1.143 eV per atom
**Space-group type**: No. 74

a = 9.1318 Å, b = 9.1318 Å, c = 9.1318 Å
α = 119.50°, β = 118.21°, γ = 92.00°
Fractional coordinates of all 16 atoms:
Cs 0.5000 0.0000 0.0000
Cs 0.5000 0.5000 0.5000
Ba 0.0000 0.0000 0.0000
Ba 0.0000 0.0000 0.5000
Ba 0.0000 0.5000 0.0000
Ba 0.5000 0.0000 0.5000
Tl 0.0000 0.5000 0.5000
Tl 0.5000 0.5000 0.0000
S 0.1770 0.6954 0.4816
S 0.2399 0.2163 0.4764
S 0.2399 0.7635 0.0236
S 0.2862 0.3046 0.9816
S 0.7138 0.6954 0.0184
S 0.7601 0.2365 0.9764
S 0.7601 0.7837 0.5236
S 0.8230 0.3046 0.5184

---

Entry 4:
Material: Cs2BaUS6
Method: DFT, GGA-PBE
State: relaxed

**Energy**: -5.143 eV per atom
**Calculated volume**: 35.89 A^3/atom
**Size of the total moment**: 4.02 Bohr magnetons per cell
**Formation energy from raw total energies**: -1.175 eV per atom
**Space-group type**: No. 14

a = 7.9771 Å, b = 7.9759 Å, c = 13.8156 Å
α = 90.00°, β = 125.25°, γ = 90.00°
Fractional coordinates of all 20 atoms:
Cs 0.2497 0.0009 0.2501
Cs 0.2497 0.4991 0.7501
Cs 0.7503 0.5009 0.2499
Cs 0.7503 0.9991 0.7499
Ba 0.0000 0.0000 0.5000
Ba 0.0000 0.5000 0.0000
U 0.5000 0.0000 0.0000
U 0.5000 0.5000 0.5000
S 0.2717 0.2221 0.9986
S 0.2717 0.2779 0.4986
S 0.2764 0.7270 0.4985
S 0.2764 0.7730 0.9985
S 0.2786 0.0000 0.7755
S 0.2786 0.5000 0.2755
S 0.7214 0.0000 0.2245
S 0.7214 0.5000 0.7245
S 0.7236 0.2270 0.0015
S 0.7236 0.2730 0.5015
S 0.7283 0.7221 0.5014
S 0.7283 0.7779 0.0014